# 1
Pr3Ho | GGA-PBE | optimized geometry

Computed properties:
calculated formation energy = 0.016 eV/atom

Unit cell a=6.3517 b=6.3517 c=6.3517 alpha=131.80 beta=131.80 gamma=70.55
Closest atoms and distances in Å follow each position.
Fractional coordinates of all 4 atoms:
Pr 0.5000 0.5000 0.0000  8 Pr 3.67, 4 Ho 3.67
Pr 0.2500 0.7500 0.5000  8 Pr 3.67, 4 Ho 3.67
Pr 0.7500 0.2500 0.5000  8 Pr 3.67, 4 Ho 3.67
Ho 0.0000 0.0000 0.0000  12 Pr 3.67

---

# 2
Nb2Ni15Sn2 | GGA-PBE | optimized geometry

Computed properties:
calculated formation energy = -0.037 eV/atom

Unit cell a=6.3287 b=6.3287 c=6.3287 alpha=81.77 beta=81.77 gamma=81.77
Closest atoms and distances in Å follow each position.
Fractional coordinates of all 19 atoms:
Ni 0.3100 0.0000 0.6900  8 Ni 2.44-2.57
Ni 0.6900 0.0000 0.3100  8 Ni 2.44-2.57
Ni 0.3100 0.6900 0.0000  8 Ni 2.44-2.57
Ni 0.6549 0.6549 0.1635  8 Ni 2.36-2.54, 1 Nb 2.58
Ni 0.6900 0.3100 0.0000  8 Ni 2.44-2.57
Ni 0.8365 0.3451 0.3451  8 Ni 2.36-2.54, 1 Nb 2.58
Ni 0.0000 0.6900 0.3100  8 Ni 2.44-2.57
Ni 0.0000 0.5000 0.0000  8 Ni 2.41-2.44, 2 Nb 2.51
Ni 0.3451 0.8365 0.3451  8 Ni 2.36-2.54, 1 Nb 2.58
Ni 0.3451 0.3451 0.8365  8 Ni 2.36-2.54, 1 Nb 2.58
Ni 0.0000 0.3100 0.6900  8 Ni 2.44-2.57
Ni 0.1635 0.6549 0.6549  8 Ni 2.36-2.54, 1 Nb 2.58
Ni 0.5000 0.0000 0.0000  8 Ni 2.41-2.44, 2 Nb 2.51
Ni 0.0000 0.0000 0.5000  8 Ni 2.41-2.44, 2 Nb 2.51
Ni 0.6549 0.1635 0.6549  8 Ni 2.36-2.54, 1 Nb 2.58
Nb 0.1057 0.1057 0.1057  6 Ni 2.51-2.58, 1 Nb 2.63
Nb 0.8943 0.8943 0.8943  6 Ni 2.51-2.58, 1 Nb 2.63
Sn 0.6464 0.6464 0.6464  12 Ni 2.87-3.04, 1 Nb 3.08
Sn 0.3536 0.3536 0.3536  12 Ni 2.87-3.04, 1 Nb 3.08

---

# 3
NpPa2RhN5 | GGA-PBE | optimized geometry

Computed properties:
ΔE_f (raw) = -9.27 eV per formula unit

Unit cell a=3.4233 b=6.7899 c=10.4749 alpha=90.00 beta=90.00 gamma=104.60
Closest atoms and distances in Å follow each position.
Fractional coordinates of all 18 atoms:
N 0.3687 0.7374 0.0055  1 Rh 2.10, 1 Np 2.16
N 0.9450 0.8901 0.5808  1 Np 2.11, 2 Rh 2.23, 1 Pa 2.31
N 0.6699 0.3399 0.8575  1 Rh 2.17, 2 Np 2.38
N 0.2739 0.5479 0.6643  3 Pa 2.32-2.46, 2 Np 2.38
N 0.7261 0.4521 0.1643  3 Pa 2.32-2.46, 2 Np 2.38
N 0.4767 0.9534 0.7673  1 Rh 2.01
N 0.6313 0.2626 0.5055  1 Rh 2.10, 1 Np 2.16
N 0.5233 0.0466 0.2673  1 Rh 2.01
N 0.3301 0.6601 0.3575  1 Rh 2.17, 2 Np 2.38
N 0.0550 0.1099 0.0808  1 Np 2.11, 2 Rh 2.23, 1 Pa 2.31
Pa 0.8532 0.7064 0.8010  6 N 2.38-2.60
Pa 0.9015 0.8030 0.1880  4 N 2.31-2.49
Pa 0.0985 0.1970 0.6880  4 N 2.31-2.49
Pa 0.1468 0.2936 0.3010  6 N 2.38-2.60
Np 0.2046 0.4092 0.0089  2 N 2.11-2.16
Np 0.7954 0.5908 0.5089  2 N 2.11-2.16
Rh 0.5222 0.0445 0.9506  5 N 2.01-2.23
Rh 0.4778 0.9555 0.4506  5 N 2.01-2.23

---

# 4
Pr2SmRh9 | GGA-PBE | optimized geometry

Computed properties:
calculated formation energy = -0.495 eV/atom

Unit cell a=5.3231 b=5.3231 c=9.4183 alpha=73.58 beta=73.58 gamma=60.00
Closest atoms and distances in Å follow each position.
Fractional coordinates of all 12 atoms:
Rh 0.0821 0.5804 0.7571  7 Rh 2.64-2.75
Rh 0.6673 0.6673 0.9981  6 Rh 2.64-2.66
Rh 0.4196 0.9179 0.2429  7 Rh 2.64-2.75
Rh 0.3327 0.3327 0.0019  6 Rh 2.64-2.66
Rh 0.9179 0.4196 0.2429  7 Rh 2.64-2.75
Rh 0.4196 0.4196 0.2429  7 Rh 2.64-2.75
Rh 0.5804 0.0821 0.7571  7 Rh 2.64-2.75
Rh 0.5804 0.5804 0.7571  7 Rh 2.64-2.75
Rh 0.5000 0.5000 0.5000  6 Rh 2.75
Pr 0.1387 0.1387 0.5839  12 Rh 3.08-3.41, 3 Pr 3.42
Pr 0.8613 0.8613 0.4161  12 Rh 3.08-3.41, 3 Pr 3.42
Sm 0.0000 0.0000 0.0000  18 Rh 3.07-3.43

---

# 5
Ag2Rh15S15 | GGA-PBE | optimized geometry

Computed properties:
ΔE_f (raw) = -11.23 eV per formula unit

Unit cell a=10.1399 b=10.1399 c=10.1399 alpha=90.00 beta=90.00 gamma=90.00
Closest atoms and distances in Å follow each position.
Fractional coordinates of all 64 atoms:
S 0.5000 0.8224 0.8224  4 Rh 2.36, 1 Ag 2.55
S 0.8224 0.5000 0.8224  4 Rh 2.36, 1 Ag 2.55
S 0.0000 0.7711 0.7711  4 Rh 2.33
S 0.8224 0.1776 0.5000  4 Rh 2.36, 1 Ag 2.55
S 0.1776 0.1776 0.5000  4 Rh 2.36, 1 Ag 2.55
S 0.7711 0.0000 0.2289  4 Rh 2.33
S 0.2289 0.0000 0.7711  4 Rh 2.33
S 0.5000 0.8224 0.1776  4 Rh 2.36, 1 Ag 2.55
S 0.2289 0.7711 0.0000  4 Rh 2.33
S 0.2289 0.2289 0.0000  4 Rh 2.33
S 0.8224 0.5000 0.1776  4 Rh 2.36, 1 Ag 2.55
S 0.7711 0.7711 0.0000  4 Rh 2.33
S 0.7711 0.2289 0.0000  4 Rh 2.33
S 0.1776 0.5000 0.8224  4 Rh 2.36, 1 Ag 2.55
S 0.7492 0.5000 0.5000  4 Rh 2.33, 1 Ag 2.53
S 0.7711 0.0000 0.7711  4 Rh 2.33
S 0.1776 0.5000 0.1776  4 Rh 2.36, 1 Ag 2.55
S 0.2508 0.5000 0.5000  4 Rh 2.33, 1 Ag 2.53
S 0.5000 0.2508 0.5000  4 Rh 2.33, 1 Ag 2.53
S 0.5000 0.5000 0.2508  4 Rh 2.33, 1 Ag 2.53
S 0.5000 0.7492 0.5000  4 Rh 2.33, 1 Ag 2.53
S 0.0000 0.2289 0.7711  4 Rh 2.33
S 0.5000 0.5000 0.7492  4 Rh 2.33, 1 Ag 2.53
S 0.8224 0.8224 0.5000  4 Rh 2.36, 1 Ag 2.55
S 0.5000 0.1776 0.8224  4 Rh 2.36, 1 Ag 2.55
S 0.0000 0.7711 0.2289  4 Rh 2.33
S 0.5000 0.1776 0.1776  4 Rh 2.36, 1 Ag 2.55
S 0.1776 0.8224 0.5000  4 Rh 2.36, 1 Ag 2.55
S 0.2289 0.0000 0.2289  4 Rh 2.33
S 0.0000 0.2289 0.2289  4 Rh 2.33
Rh 0.3580 0.3580 0.8608  4 S 2.33-2.36
Rh 0.0000 0.7930 0.0000  4 S 2.33
Rh 0.6420 0.8608 0.3580  4 S 2.33-2.36
Rh 0.6420 0.6420 0.8608  4 S 2.33-2.36
Rh 0.0000 0.0000 0.7930  4 S 2.33
Rh 0.6420 0.1392 0.3580  4 S 2.33-2.36
Rh 0.8608 0.6420 0.6420  4 S 2.33-2.36
Rh 0.1392 0.3580 0.6420  4 S 2.33-2.36
Rh 0.8608 0.6420 0.3580  4 S 2.33-2.36
Rh 0.3580 0.1392 0.3580  4 S 2.33-2.36
Rh 0.3580 0.1392 0.6420  4 S 2.33-2.36
Rh 0.6420 0.3580 0.1392  4 S 2.33-2.36
Rh 0.0000 0.0000 0.2070  4 S 2.33
Rh 0.8608 0.3580 0.3580  4 S 2.33-2.36
Rh 0.6420 0.1392 0.6420  4 S 2.33-2.36
Rh 0.8608 0.3580 0.6420  4 S 2.33-2.36
Rh 0.1392 0.6420 0.3580  4 S 2.33-2.36
Rh 0.1392 0.6420 0.6420  4 S 2.33-2.36
Rh 0.1392 0.3580 0.3580  4 S 2.33-2.36
Rh 0.2070 0.0000 0.0000  4 S 2.33
Rh 0.6420 0.3580 0.8608  4 S 2.33-2.36
Rh 0.3580 0.8608 0.3580  4 S 2.33-2.36
Rh 0.7930 0.0000 0.0000  4 S 2.33
Rh 0.3580 0.3580 0.1392  4 S 2.33-2.36
Rh 0.3580 0.8608 0.6420  4 S 2.33-2.36
Rh 0.3580 0.6420 0.1392  4 S 2.33-2.36
Rh 0.0000 0.2070 0.0000  4 S 2.33
Rh 0.6420 0.8608 0.6420  4 S 2.33-2.36
Rh 0.3580 0.6420 0.8608  4 S 2.33-2.36
Rh 0.6420 0.6420 0.1392  4 S 2.33-2.36
Ag 0.5000 0.5000 0.5000  6 S 2.53
Ag 0.5000 0.0000 0.0000  4 S 2.55
Ag 0.0000 0.0000 0.5000  4 S 2.55
Ag 0.0000 0.5000 0.0000  4 S 2.55

---

# 6
Ce2HBr5 | GGA-PBE | optimized geometry

Unit cell a=3.6880 b=7.4226 c=19.9009 alpha=90.00 beta=90.00 gamma=104.38
Closest atoms and distances in Å follow each position.
Fractional coordinates of all 16 atoms:
H 0.7914 0.5828 0.7500  3 Br 2.63-2.94, 4 Ce 2.66
H 0.2086 0.4172 0.2500  3 Br 2.63-2.94, 4 Ce 2.66
Br 0.1081 0.2161 0.1212  2 Ce 2.91, 1 H 2.94
Br 0.6503 0.3006 0.5697  2 Ce 2.91
Br 0.6503 0.3006 0.9303  2 Ce 2.91
Br 0.8919 0.7839 0.8788  2 Ce 2.91, 1 H 2.94
Br 0.8919 0.7839 0.6212  2 Ce 2.91, 1 H 2.94
Br 0.3497 0.6994 0.4303  2 Ce 2.91
Br 0.6083 0.2165 0.7500  1 H 2.63
Br 0.3497 0.6994 0.0697  2 Ce 2.91
Br 0.1081 0.2161 0.3788  2 Ce 2.91, 1 H 2.94
Br 0.3917 0.7835 0.2500  1 H 2.63
Ce 0.7552 0.5105 0.3403  2 H 2.66, 4 Br 2.91
Ce 0.7552 0.5105 0.1597  2 H 2.66, 4 Br 2.91
Ce 0.2448 0.4895 0.8403  2 H 2.66, 4 Br 2.91
Ce 0.2448 0.4895 0.6597  2 H 2.66, 4 Br 2.91

---

# 7
MgMnIr | GGA-PBE | optimized geometry

Computed properties:
calculated formation energy = -0.025 eV/atom

Unit cell a=2.8437 b=4.5070 c=7.7210 alpha=72.95 beta=111.62 gamma=89.99
Closest atoms and distances in Å follow each position.
Fractional coordinates of all 6 atoms:
Mn 0.1588 0.3412 0.2786  2 Mn 2.17
Mn 0.6587 0.7040 0.2789  2 Mn 2.17
Mg 0.2868 0.6257 0.9069  6 Ir 2.74-2.88, 3 Mn 2.80-2.94, 4 Mg 2.84-2.85
Mg 0.0302 0.2544 0.6506  6 Ir 2.74-2.87, 3 Mn 2.80-2.94, 4 Mg 2.84-2.85
Ir 0.8971 0.0770 0.0172  3 Mn 2.52-2.53, 4 Mg 2.74-2.79
Ir 0.4197 0.8167 0.5400  3 Mn 2.51-2.53, 4 Mg 2.74-2.79

---

# 8
TlSeO2 | GGA-PBE | optimized geometry

Computed properties:
ΔE_f (raw) = -1.56 eV per formula unit

Unit cell a=6.8050 b=6.8050 c=6.8050 alpha=29.04 beta=29.04 gamma=29.04
Closest atoms and distances in Å follow each position.
Fractional coordinates of all 4 atoms:
O 0.1031 0.1031 0.1031  1 Se 2.02
O 0.8969 0.8969 0.8969  1 Se 2.02
Tl 0.5000 0.5000 0.5000  6 O 2.33
Se 0.0000 0.0000 0.0000  2 O 2.02

---

# 9
LiCu2AgF6 | GGA-PBE | optimized geometry

Computed properties:
ΔE_f (raw) = -16.52 eV per formula unit

Unit cell a=7.1002 b=7.0356 c=7.0356 alpha=69.99 beta=69.90 gamma=69.90
Closest atoms and distances in Å follow each position.
Fractional coordinates of all 20 atoms:
Cu 0.3873 0.7431 0.6480  4 F 1.88-1.95
Cu 0.8873 0.6480 0.7431  4 F 1.88-1.95
Cu 0.1127 0.3520 0.2569  4 F 1.88-1.95
Cu 0.6127 0.2569 0.3520  4 F 1.88-1.95
F 0.9745 0.6300 0.2814  1 Li 1.88, 1 Cu 1.90
F 0.4745 0.2814 0.6300  1 Li 1.88, 1 Cu 1.90
F 0.2507 0.8965 0.8519  1 Cu 1.88, 1 Li 1.92
F 0.8718 0.2400 0.4029  2 Cu 1.94-1.95
F 0.7493 0.1035 0.1481  1 Cu 1.88, 1 Li 1.92
F 0.5255 0.7186 0.3700  1 Li 1.88, 1 Cu 1.90
F 0.0255 0.3700 0.7186  1 Li 1.88, 1 Cu 1.90
F 0.3718 0.4029 0.2400  2 Cu 1.94-1.95
F 0.7507 0.8519 0.8965  1 Cu 1.88, 1 Li 1.92
F 0.6282 0.5971 0.7600  2 Cu 1.94-1.95
F 0.1282 0.7600 0.5971  2 Cu 1.94-1.95
F 0.2493 0.1481 0.1035  1 Cu 1.88, 1 Li 1.92
Ag 0.7500 0.2112 0.7888  6 F 2.38-2.51
Ag 0.2500 0.7888 0.2112  6 F 2.38-2.51
Li 0.2500 0.1777 0.8223  4 F 1.88-1.92
Li 0.7500 0.8223 0.1777  4 F 1.88-1.92

---

| no. | M_tot (μB per formula unit) | E_tot (eV/atom) |
| --- | --- | --- |
| 1 | 0.000 | -4.713 |
| 2 | 0.030 | -6.083 |
| 3 | 2.710 | -10.020 |
| 4 | 0.000 | -7.199 |
| 5 | 0.000 | -5.910 |
| 6 | 2.001 | -4.330 |
| 7 | 0.000 | -6.567 |
| 8 | 0.000 | -4.331 |
| 9 | 2.056 | -4.071 |